(1)
DFT (GGA-PBEsol) results for a relaxed structure of LiBiP4O12.

density = 3.72 g/cm³
formation energy without anion corrections = -2069.3 meV/atom
total moment = 0.0 μB per formula unit
DFT total energy = -7.203 eV/atom

Cell: 7.3191 7.3191 10.3831 Å, 100.78 100.78 114.53°
Element x y z (fractional)
Li (0.1139, 0.8861, 0.7500)
Li (0.8861, 0.1139, 0.2500)
Bi (0.1312, 0.8688, 0.2500)
Bi (0.8688, 0.1312, 0.7500)
P (0.2493, 0.3044, 0.5488)
P (0.2758, 0.6230, 0.9872)
P (0.3044, 0.2493, 0.0488)
P (0.3770, 0.7242, 0.5128)
P (0.6230, 0.2758, 0.4872)
P (0.6956, 0.7507, 0.9512)
P (0.7242, 0.3770, 0.0128)
P (0.7507, 0.6956, 0.4512)
O (0.0733, 0.4943, 0.8733)
O (0.1275, 0.1935, 0.3995)
O (0.1726, 0.2167, 0.6575)
O (0.1877, 0.7008, 0.4110)
O (0.1935, 0.1275, 0.8995)
O (0.2167, 0.1726, 0.1575)
O (0.2931, 0.5440, 0.5863)
O (0.2992, 0.8123, 0.0890)
O (0.3372, 0.4864, 0.0723)
O (0.4560, 0.7069, 0.9137)
O (0.4864, 0.3372, 0.5723)
O (0.4943, 0.0733, 0.3733)
O (0.5057, 0.9267, 0.6267)
O (0.5136, 0.6628, 0.4277)
O (0.5440, 0.2931, 0.0863)
O (0.6628, 0.5136, 0.9277)
O (0.7008, 0.1877, 0.9110)
O (0.7069, 0.4560, 0.4137)
O (0.7833, 0.8274, 0.8425)
O (0.8065, 0.8725, 0.1005)
O (0.8123, 0.2992, 0.5890)
O (0.8274, 0.7833, 0.3425)
O (0.8725, 0.8065, 0.6005)
O (0.9267, 0.5057, 0.1267)

(2)
DFT (GGA-PBEsol) results for a relaxed structure of Li5BiP4O14.

density = 3.69 g/cm³
formation energy without anion corrections = -2225.7 meV/atom
total moment = 0.0 μB per formula unit
DFT total energy = -6.841 eV/atom

Cell: 7.2223 8.4403 9.7696 Å, 76.89 75.99 68.65°
Element x y z (fractional)
Li (0.0239, 0.4770, 0.1393)
Li (0.2461, 0.7285, 0.9081)
Li (0.3294, 0.1987, 0.2947)
Li (0.3350, 0.2415, 0.6238)
Li (0.4392, 0.4839, 0.3425)
Li (0.5608, 0.5161, 0.6575)
Li (0.6650, 0.7585, 0.3762)
Li (0.6706, 0.8013, 0.7053)
Li (0.7539, 0.2715, 0.0919)
Li (0.9761, 0.5230, 0.8607)
Bi (0.1214, 0.8710, 0.2413)
Bi (0.8786, 0.1290, 0.7587)
P (0.1323, 0.6289, 0.5785)
P (0.1658, 0.1414, 0.9659)
P (0.3102, 0.9017, 0.5426)
P (0.4169, 0.3369, 0.9609)
P (0.5831, 0.6631, 0.0391)
P (0.6898, 0.0983, 0.4574)
P (0.8342, 0.8586, 0.0341)
P (0.8677, 0.3711, 0.4215)
O (0.0487, 0.2571, 0.8451)
O (0.0633, 0.1962, 0.1116)
O (0.0701, 0.3747, 0.3366)
O (0.1370, 0.8135, 0.6015)
O (0.1606, 0.6427, 0.4145)
O (0.2061, 0.9508, 0.9705)
O (0.2226, 0.0595, 0.6197)
O (0.2241, 0.4901, 0.9450)
O (0.3130, 0.4836, 0.6288)
O (0.3329, 0.9455, 0.3785)
O (0.3810, 0.1714, 0.9235)
O (0.4014, 0.6480, 0.1572)
O (0.4615, 0.2965, 0.1109)
O (0.4938, 0.2293, 0.4153)
O (0.5062, 0.7707, 0.5847)
O (0.5385, 0.7035, 0.8891)
O (0.5986, 0.3520, 0.8428)
O (0.6190, 0.8286, 0.0765)
O (0.6671, 0.0545, 0.6215)
O (0.6870, 0.5164, 0.3712)
O (0.7759, 0.5099, 0.0550)
O (0.7774, 0.9405, 0.3803)
O (0.7939, 0.0492, 0.0295)
O (0.8394, 0.3573, 0.5855)
O (0.8630, 0.1865, 0.3985)
O (0.9299, 0.6253, 0.6634)
O (0.9367, 0.8038, 0.8884)
O (0.9513, 0.7429, 0.1549)

(3)
DFT (GGA-PBEsol) results for a relaxed structure of Li3Bi3P4O16.

density = 5.48 g/cm³
formation energy without anion corrections = -2025.0 meV/atom
ΔE to the lowest computed polymorph = 0.000 eV per atom
total moment = 0.0 μB per formula unit
DFT total energy = -6.868 eV/atom

Cell: 9.4509 9.4509 10.8110 Å, 93.87 93.87 40.30°
Element x y z (fractional)
Li (0.0000, 0.5000, 0.5000)
Li (0.0938, 0.2138, 0.2687)
Li (0.2138, 0.0938, 0.7687)
Li (0.5000, 0.0000, 0.0000)
Li (0.7862, 0.9062, 0.2313)
Li (0.9062, 0.7862, 0.7313)
Bi (0.1563, 0.8437, 0.2500)
Bi (0.1612, 0.5523, 0.9780)
Bi (0.4477, 0.8388, 0.5220)
Bi (0.5523, 0.1612, 0.4780)
Bi (0.8388, 0.4477, 0.0220)
Bi (0.8437, 0.1563, 0.7500)
P (0.1307, 0.7418, 0.5081)
P (0.2490, 0.3648, 0.2352)
P (0.2582, 0.8693, 0.9919)
P (0.3648, 0.2490, 0.7352)
P (0.6352, 0.7510, 0.2648)
P (0.7418, 0.1307, 0.0081)
P (0.7510, 0.6352, 0.7648)
P (0.8693, 0.2582, 0.4919)
O (0.0273, 0.8467, 0.6366)
O (0.0530, 0.1183, 0.5956)
O (0.1183, 0.0530, 0.0956)
O (0.1281, 0.5992, 0.2088)
O (0.1533, 0.9727, 0.8634)
O (0.1654, 0.3448, 0.3410)
O (0.2160, 0.2994, 0.1088)
O (0.2208, 0.4915, 0.7708)
O (0.2365, 0.5139, 0.5065)
O (0.2787, 0.6974, 0.0275)
O (0.2994, 0.2160, 0.6088)
O (0.3026, 0.7213, 0.4725)
O (0.3448, 0.1654, 0.8410)
O (0.4008, 0.8719, 0.2912)
O (0.4861, 0.7635, 0.9935)
O (0.4915, 0.2208, 0.2708)
O (0.5085, 0.7792, 0.7292)
O (0.5139, 0.2365, 0.0065)
O (0.5992, 0.1281, 0.7088)
O (0.6552, 0.8346, 0.1590)
O (0.6974, 0.2787, 0.5275)
O (0.7006, 0.7840, 0.3912)
O (0.7213, 0.3026, 0.9725)
O (0.7635, 0.4861, 0.4935)
O (0.7792, 0.5085, 0.2292)
O (0.7840, 0.7006, 0.8912)
O (0.8346, 0.6552, 0.6590)
O (0.8467, 0.0273, 0.1366)
O (0.8719, 0.4008, 0.7912)
O (0.8817, 0.9470, 0.9044)
O (0.9470, 0.8817, 0.4044)
O (0.9727, 0.1533, 0.3634)

(4)
DFT (GGA-PBEsol) results for a relaxed structure of Li3Bi3P8O29.

density = 3.67 g/cm³
formation energy without anion corrections = -1840.8 meV/atom
total moment = 0.0 μB per formula unit
DFT total energy = -6.895 eV/atom

Cell: 9.8877 9.8877 14.6251 Å, 91.45 91.45 59.53°
Element x y z (fractional)
Li (0.0000, 0.0000, 0.0000)
Li (0.0000, 0.0000, 0.5000)
Li (0.0813, 0.6802, 0.9540)
Li (0.3198, 0.9187, 0.5460)
Li (0.6802, 0.0813, 0.4540)
Li (0.9187, 0.3198, 0.0460)
Bi (0.0174, 0.4210, 0.2747)
Bi (0.4210, 0.0174, 0.7747)
Bi (0.4516, 0.5484, 0.2500)
Bi (0.5484, 0.4516, 0.7500)
Bi (0.5790, 0.9826, 0.2253)
Bi (0.9826, 0.5790, 0.7253)
P (0.0688, 0.2113, 0.6565)
P (0.0873, 0.6763, 0.1584)
P (0.2035, 0.7279, 0.6520)
P (0.2113, 0.0688, 0.1565)
P (0.2721, 0.7965, 0.8480)
P (0.3066, 0.3737, 0.8579)
P (0.3237, 0.9127, 0.3416)
P (0.3737, 0.3066, 0.3579)
P (0.6263, 0.6934, 0.6421)
P (0.6763, 0.0873, 0.6584)
P (0.6934, 0.6263, 0.1421)
P (0.7279, 0.2035, 0.1520)
P (0.7887, 0.9312, 0.8435)
P (0.7965, 0.2721, 0.3480)
P (0.9127, 0.3237, 0.8416)
P (0.9312, 0.7887, 0.3435)
O (0.0017, 0.7853, 0.2455)
O (0.0058, 0.8350, 0.4172)
O (0.0074, 0.7606, 0.0730)
O (0.0534, 0.3731, 0.6409)
O (0.0654, 0.6962, 0.6420)
O (0.0796, 0.2461, 0.1652)
O (0.0889, 0.5200, 0.1694)
O (0.1614, 0.8135, 0.9207)
O (0.1650, 0.9942, 0.0828)
O (0.1865, 0.8386, 0.5793)
O (0.1890, 0.8110, 0.7500)
O (0.2147, 0.9983, 0.2545)
O (0.2203, 0.4700, 0.7696)
O (0.2212, 0.2934, 0.3588)
O (0.2394, 0.9926, 0.4270)
O (0.2403, 0.4634, 0.9442)
O (0.2461, 0.0796, 0.6652)
O (0.2567, 0.6485, 0.1586)
O (0.2934, 0.2212, 0.8588)
O (0.3038, 0.9346, 0.8580)
O (0.3166, 0.4812, 0.3341)
O (0.3515, 0.7433, 0.3414)
O (0.3667, 0.5759, 0.6486)
O (0.3731, 0.0534, 0.1409)
O (0.4241, 0.6333, 0.8514)
O (0.4634, 0.2403, 0.4442)
O (0.4700, 0.2203, 0.2696)
O (0.4800, 0.9111, 0.3306)
O (0.4812, 0.3166, 0.8341)
O (0.5188, 0.6834, 0.1659)
O (0.5200, 0.0889, 0.6694)
O (0.5300, 0.7797, 0.7304)
O (0.5366, 0.7597, 0.5558)
O (0.5759, 0.3667, 0.1486)
O (0.6269, 0.9466, 0.8591)
O (0.6333, 0.4241, 0.3514)
O (0.6485, 0.2567, 0.6586)
O (0.6834, 0.5188, 0.6659)
O (0.6962, 0.0654, 0.1420)
O (0.7066, 0.7788, 0.1412)
O (0.7433, 0.3515, 0.8414)
O (0.7539, 0.9204, 0.3348)
O (0.7597, 0.5366, 0.0558)
O (0.7606, 0.0074, 0.5730)
O (0.7788, 0.7066, 0.6412)
O (0.7797, 0.5300, 0.2304)
O (0.7853, 0.0017, 0.7455)
O (0.8110, 0.1890, 0.2500)
O (0.8135, 0.1614, 0.4207)
O (0.8350, 0.0058, 0.9172)
O (0.8386, 0.1865, 0.0793)
O (0.9111, 0.4800, 0.8306)
O (0.9204, 0.7539, 0.8348)
O (0.9346, 0.3038, 0.3580)
O (0.9466, 0.6269, 0.3591)
O (0.9926, 0.2394, 0.9270)
O (0.9942, 0.1650, 0.5828)
O (0.9983, 0.2147, 0.7545)

(5)
DFT (GGA-PBEsol) results for a relaxed structure of Li2BiP5O15.

density = 3.55 g/cm³
formation energy without anion corrections = -2110.5 meV/atom
total moment = 0.0 μB per formula unit
DFT total energy = -7.150 eV/atom

Cell: 7.0067 7.0067 12.7010 Å, 90.53 90.53 111.85°
Element x y z (fractional)
Li (0.0307, 0.9693, 0.5000)
Li (0.4067, 0.9026, 0.6452)
Li (0.9026, 0.4067, 0.1452)
Li (0.9693, 0.0307, 0.0000)
Bi (0.1245, 0.3922, 0.6563)
Bi (0.3922, 0.1245, 0.1563)
P (0.1748, 0.4621, 0.9394)
P (0.2606, 0.8983, 0.8869)
P (0.4388, 0.6547, 0.2466)
P (0.4621, 0.1748, 0.4394)
P (0.5446, 0.6435, 0.4724)
P (0.6435, 0.5446, 0.9724)
P (0.6547, 0.4388, 0.7466)
P (0.8355, 0.9756, 0.2094)
P (0.8983, 0.2606, 0.3869)
P (0.9756, 0.8355, 0.7094)
O (0.0239, 0.9759, 0.1535)
O (0.0536, 0.8977, 0.8273)
O (0.0605, 0.2908, 0.4711)
O (0.0626, 0.3386, 0.0305)
O (0.0915, 0.3751, 0.8327)
O (0.1012, 0.7262, 0.6582)
O (0.1721, 0.6878, 0.9522)
O (0.2908, 0.0605, 0.9711)
O (0.3351, 0.7749, 0.1877)
O (0.3386, 0.0626, 0.5305)
O (0.3602, 0.4285, 0.2257)
O (0.3751, 0.0915, 0.3327)
O (0.4097, 0.5014, 0.9460)
O (0.4159, 0.6585, 0.5644)
O (0.4180, 0.9020, 0.8090)
O (0.4285, 0.3602, 0.7257)
O (0.4399, 0.7045, 0.3700)
O (0.5014, 0.4097, 0.4460)
O (0.6585, 0.4159, 0.0644)
O (0.6840, 0.7440, 0.2221)
O (0.6878, 0.1721, 0.4522)
O (0.7045, 0.4399, 0.8700)
O (0.7262, 0.1012, 0.1582)
O (0.7440, 0.6840, 0.7221)
O (0.7580, 0.7695, 0.9780)
O (0.7695, 0.7580, 0.4780)
O (0.7749, 0.3351, 0.6877)
O (0.8977, 0.0536, 0.3273)
O (0.9020, 0.4180, 0.3090)
O (0.9759, 0.0239, 0.6535)

(6)
DFT (GGA-PBEsol) results for a relaxed structure of LiBiPd2O4.

density = 8.04 g/cm³
formation energy without anion corrections = -1069.4 meV/atom
total moment = 0.0 μB per formula unit
DFT total energy = -5.965 eV/atom

Cell: 6.8867 6.8867 4.2896 Å, 90.00 90.00 90.00°
Element x y z (fractional)
Li (0.2500, 0.7500, 0.0000)
Li (0.7500, 0.2500, 0.0000)
Bi (0.2500, 0.2500, 0.0260)
Bi (0.7500, 0.7500, 0.9740)
Pd (0.0000, 0.0000, 0.5000)
Pd (0.0000, 0.5000, 0.5000)
Pd (0.5000, 0.0000, 0.5000)
Pd (0.5000, 0.5000, 0.5000)
O (0.0238, 0.7500, 0.2632)
O (0.2500, 0.5238, 0.7368)
O (0.2500, 0.9762, 0.7368)
O (0.4762, 0.7500, 0.2632)
O (0.5238, 0.2500, 0.7368)
O (0.7500, 0.0238, 0.2632)
O (0.7500, 0.4762, 0.2632)
O (0.9762, 0.2500, 0.7368)